Entry 1:
A plane-wave DFT calculation with GGA-PBE was carried out for a geometry-optimized Pu3Pt structure.

Computed properties:
crystal system = orthorhombic
total magnetic moment = 5.3 μB/f.u.
total DFT energy (no corrections) = -12.515 eV/atom
calculated formation energy = -256.3 meV per atom
excess energy over the best structure of this formula in the dataset = 0.00 kcal/mol of atoms

Structure (CIF):
```
data_Pu3Pt
_cell_length_a 3.6847
_cell_length_b 5.1341
_cell_length_c 5.3019
_cell_angle_alpha 118.96
_cell_angle_beta 110.33
_cell_angle_gamma 90.00
_space_group_name_H-M_alt 'P 1'
_space_group_IT_number 1
_space_group_name_Hall 'P 1'
loop_
_atom_site_label
_atom_site_type_symbol
_atom_site_fract_x
_atom_site_fract_y
_atom_site_fract_z
_atom_site_occupancy
Pt1 Pt 0.0000 0.9167 0.0000 1
Pu1 Pu 0.2319 0.6486 0.4639 1
Pu2 Pu 0.5000 0.4167 0.0000 1
Pu3 Pu 0.7681 0.1847 0.5361 1
```

Entry 2:
A plane-wave DFT calculation with GGA-PBE was carried out for a geometry-optimized RbPuPt10 structure.

Computed properties:
crystal system = orthorhombic
total magnetic moment = 4.7 μB/f.u.
total DFT energy (no corrections) = -6.594 eV/atom
calculated formation energy = -284.8 meV per atom

Structure (CIF):
```
data_RbPuPt10
_cell_length_a 4.3837
_cell_length_b 5.5028
_cell_length_c 9.4771
_cell_angle_alpha 90.00
_cell_angle_beta 90.00
_cell_angle_gamma 90.00
_space_group_name_H-M_alt 'P 1'
_space_group_IT_number 1
_space_group_name_Hall 'P 1'
loop_
_atom_site_label
_atom_site_type_symbol
_atom_site_fract_x
_atom_site_fract_y
_atom_site_fract_z
_atom_site_occupancy
Rb1 Rb 0.0000 0.0000 0.0000 1
Pu1 Pu 0.0000 0.5000 0.5000 1
Pt1 Pt 0.0000 0.0000 0.3391 1
Pt2 Pt 0.0000 0.5000 0.8240 1
Pt3 Pt 0.0000 0.5000 0.1760 1
Pt4 Pt 0.0000 0.0000 0.6609 1
Pt5 Pt 0.5000 0.0000 0.5000 1
Pt6 Pt 0.5000 0.5000 0.0000 1
Pt7 Pt 0.5000 0.2549 0.2587 1
Pt8 Pt 0.5000 0.7451 0.7413 1
Pt9 Pt 0.5000 0.7451 0.2587 1
Pt10 Pt 0.5000 0.2549 0.7413 1
```

Entry 3:
A plane-wave DFT calculation with GGA-PBE was carried out for a geometry-optimized RbPuPt structure.

Computed properties:
crystal system = monoclinic
total magnetic moment = 0.0 μB/f.u.
total DFT energy (no corrections) = -7.095 eV/atom
calculated formation energy = 18.5 meV per atom

Structure (CIF):
```
data_RbPuPt
_cell_length_a 3.4524
_cell_length_b 3.4524
_cell_length_c 16.2626
_cell_angle_alpha 111.33
_cell_angle_beta 111.33
_cell_angle_gamma 79.72
_space_group_name_H-M_alt 'P 1'
_space_group_IT_number 1
_space_group_name_Hall 'P 1'
loop_
_atom_site_label
_atom_site_type_symbol
_atom_site_fract_x
_atom_site_fract_y
_atom_site_fract_z
_atom_site_occupancy
Rb1 Rb 0.3919 0.3919 0.6632 1
Rb2 Rb 0.6081 0.6081 0.3368 1
Pu1 Pu 0.7527 0.7527 0.9562 1
Pu2 Pu 0.2473 0.2473 0.0438 1
Pt1 Pt 0.1251 0.1251 0.8382 1
Pt2 Pt 0.8749 0.8749 0.1618 1
```

Entry 4:
A plane-wave DFT calculation with GGA-PBE was carried out for a geometry-optimized Rb4Pu3PtS8 structure.

Computed properties:
crystal system = monoclinic
total magnetic moment = 14.0 μB/f.u.
total DFT energy (no corrections) = -6.643 eV/atom

Structure (CIF):
```
data_Rb4Pu3PtS8
_cell_length_a 7.9001
_cell_length_b 8.8730
_cell_length_c 8.3095
_cell_angle_alpha 115.99
_cell_angle_beta 118.38
_cell_angle_gamma 90.00
_space_group_name_H-M_alt 'P 1'
_space_group_IT_number 1
_space_group_name_Hall 'P 1'
loop_
_atom_site_label
_atom_site_type_symbol
_atom_site_fract_x
_atom_site_fract_y
_atom_site_fract_z
_atom_site_occupancy
Rb1 Rb 0.5000 0.0000 0.0000 1
Rb2 Rb 0.5000 0.0000 0.5000 1
Rb3 Rb 0.0000 0.0000 0.0000 1
Rb4 Rb 0.0000 0.0000 0.5000 1
Pu1 Pu 0.5000 0.5000 0.0000 1
Pu2 Pu 0.5000 0.5000 0.5000 1
Pu3 Pu 0.0000 0.5000 0.5000 1
Pt1 Pt 0.0000 0.5000 0.0000 1
S1 S 0.1941 0.6654 0.9473 1
S2 S 0.2691 0.7174 0.5382 1
S3 S 0.2775 0.3099 0.5551 1
S4 S 0.7532 0.6654 0.9473 1
S5 S 0.2468 0.3346 0.0527 1
S6 S 0.7225 0.6901 0.4449 1
S7 S 0.7309 0.2826 0.4618 1
S8 S 0.8059 0.3346 0.0527 1
```